Entry 1:
Here is a relaxed structure of ZnCuHRh2 from Alexandria. Energies are from PBE.

Unit cell a=3.902 b=3.902 c=3.783 alpha=90.00 beta=90.00 gamma=90.00
Sites, in units of the cell vectors:
Zn 0.000 0.000 0.500
Rh 0.500 0.000 0.000
Rh 0.000 0.500 0.000
Cu 0.500 0.500 0.500
H 0.000 0.000 0.000

Values from the calculation:
- uncorrected energy (eV per formula unit) = -23.5



Entry 2:
Here is a relaxed structure of Zn2CuHRh from Alexandria. Energies are from PBE.

Unit cell a=4.078 b=4.078 c=3.494 alpha=90.00 beta=90.00 gamma=90.00
Sites, in units of the cell vectors:
Cu 0.500 0.500 0.500
Zn 0.000 0.500 0.000
Zn 0.500 0.000 0.000
H 0.000 0.000 0.000
Rh 0.000 0.000 0.500

Values from the calculation:
- uncorrected energy (eV per formula unit) = -17.8



Entry 3:
Here is a relaxed structure of ZnCuH2Rh from Alexandria. Energies are from PBE.

Unit cell a=3.187 b=3.187 c=5.150 alpha=108.03 beta=108.03 gamma=90.00
Sites, in units of the cell vectors:
H 0.243 0.743 0.485
H 0.743 0.243 0.485
Rh 0.158 0.158 0.315
Cu 0.858 0.858 0.715
Zn 0.500 0.500 0.999

Values from the calculation:
- uncorrected energy (eV per formula unit) = -19.8



Entry 4:
Here is a relaxed structure of Zn2CuHRh from Alexandria. Energies are from PBE.

Unit cell a=4.088 b=4.088 c=3.413 alpha=90.00 beta=90.00 gamma=90.00
Sites, in units of the cell vectors:
H 0.000 0.000 0.000
Rh 0.500 0.500 0.500
Cu 0.000 0.000 0.500
Zn 0.000 0.500 0.000
Zn 0.500 0.000 0.000

Values from the calculation:
- uncorrected energy (eV per formula unit) = -17.6